1.
## MnTlSbI2 (PBE)

Data for MnTlSbI2 after structural relaxation.

a = 5.8630 Å, b = 5.8630 Å, c = 5.1530 Å
α = 90.00°, β = 90.00°, γ = 90.00°
With the nearest neighbours (Å) after each atom.
Element x y z (fractional)
I 0.0000 0.5000 0.0000  2 Mn 2.93
I 0.5000 0.0000 0.0000  2 Mn 2.93
Mn 0.0000 0.0000 0.0000  2 Sb 2.58
Sb 0.0000 0.0000 0.5000  2 Mn 2.58
Tl 0.5000 0.5000 0.5000  8 I 3.90, 4 Sb 4.15

Summary:
spin magnetization = 0.602 μB per atom
formation energy from raw total energies = -0.014 eV/atom
total DFT energy (no corrections) = -3.766 eV per atom
distance to the lowest polymorph of the same formula = 0.000 eV/atom

***

2.
## TaAl2Ag (PBE)

Data for TaAl2Ag after structural relaxation.

a = 4.5568 Å, b = 4.5568 Å, c = 4.5568 Å
α = 60.00°, β = 60.00°, γ = 60.00°
With the nearest neighbours (Å) after each atom.
Element x y z (fractional)
Al 0.2500 0.2500 0.2500  4 Ta 2.79, 4 Ag 2.79
Al 0.7500 0.7500 0.7500  4 Ta 2.79, 4 Ag 2.79
Ta 0.5000 0.5000 0.5000  8 Al 2.79
Ag 0.0000 0.0000 0.0000  8 Al 2.79

Summary:
spin magnetization = 0.000 μB per atom
formation enthalpy at 0 K = 15 kJ per mole of atoms
total DFT energy (no corrections) = -5.392 eV per atom
distance to the lowest polymorph of the same formula = 0.296 eV/atom

***

Q: Which ρ values were calculated for the entries above? A: 5.95, 8.51, in g cm⁻³.